w:
Here is a relaxed CoPbI3 crystal from Alexandria via LeMat-Bulk. Energies are from PBE.

Cell and atoms, written as POSCAR:
```
CoPbI3
1.0
6.2424 0.0000 0.0000
0.0000 6.2424 0.0000
0.0000 0.0000 6.2424
Co Pb I
1 1 3
Cartesian
0.0000 0.0000 0.0000
3.1212 3.1212 3.1212
0.0000 3.1212 3.1212
3.1212 0.0000 3.1212
3.1212 3.1212 0.0000
```

Results
SG: Pm-3m, No. 221

---

x:
Here is a relaxed CoPbI3 crystal from Alexandria via LeMat-Bulk. Energies are from PBE.

Cell and atoms, written as POSCAR:
```
CoPbI3
1.0
5.2949 0.0000 0.0000
0.0000 5.2949 0.0000
0.0000 0.0000 5.2949
Co Pb I
1 1 3
Cartesian
0.0000 0.0000 0.0000
2.6474 2.6474 2.6474
0.0000 0.0000 2.6474
0.0000 2.6474 0.0000
2.6474 0.0000 0.0000
```

Results
SG: Pm-3m, No. 221

---

The most stable of them is x.